# YHgIO2

A relaxed structure of YHgIO2 (PBE, Alexandria via LeMat-Bulk).

Cell and atoms, written as POSCAR:
```
YHgIO2
1.0
-0.4877 2.8815 -3.2823
-4.1314 -1.3759 -0.5940
-1.8111 3.8593 3.6571
I Y Hg O
1 1 1 2
direct
0.0000 0.0000 0.5000
0.5000 0.5000 0.5000
0.0000 0.0000 0.0000
0.0000 0.5000 0.0000
0.5000 0.0000 0.0000
```

Uncorrected formation energy = -0.18 eV/atom
Mass density = 6.9 Mg/m³
Energy above the lowest structure with this stoichiometry = 1029.9 meV per atom


# YHgIO2

A relaxed structure of YHgIO2 (PBE, Alexandria via LeMat-Bulk).

Cell and atoms, written as POSCAR:
```
YHgIO2
1.0
4.3629 0.0000 0.0000
0.0000 4.3629 0.0000
0.0000 0.0000 6.6428
I Y Hg O
1 1 1 2
direct
0.0000 0.0000 0.5000
0.0000 0.0000 0.0000
0.5000 0.5000 0.5000
0.0000 0.5000 0.0000
0.5000 0.0000 0.0000
```

Uncorrected formation energy = -1.21 eV/atom
Mass density = 5.9 Mg/m³
Energy above the lowest structure with this stoichiometry = 0.0 meV per atom


# YHg2IO

A relaxed structure of YHg2IO (PBE, Alexandria via LeMat-Bulk).

Cell and atoms, written as POSCAR:
```
YHg2IO
1.0
-3.5006 0.1837 5.3375
1.4133 -3.7785 1.0569
4.8826 2.6960 3.1094
I Y Hg O
1 1 2 1
direct
0.5000 0.5000 0.5000
0.0000 0.0000 0.0000
0.0000 0.0000 0.5000
0.5000 0.0000 0.0000
0.0000 0.5000 0.0000
```

Uncorrected formation energy = -0.89 eV/atom
Mass density = 6.2 Mg/m³


# ZnHgI2O

A relaxed structure of ZnHgI2O (PBE, Alexandria via LeMat-Bulk).

Cell and atoms, written as POSCAR:
```
ZnHgI2O
1.0
-4.1999 2.8999 -3.1912
2.9567 -1.3058 -5.0779
-2.1355 -3.4772 -0.3493
I Zn Hg O
2 1 1 1
direct
0.0000 0.5000 0.0000
0.5000 0.0000 0.0000
0.5000 0.5000 0.5000
0.0000 0.0000 0.0000
0.0000 0.0000 0.5000
```

Uncorrected formation energy = 0.31 eV/atom
Mass density = 6.0 Mg/m³
Energy above the lowest structure with this stoichiometry = 485.7 meV per atom


# Zn2HgIO6

A relaxed structure of Zn2HgIO6 (PBE, Alexandria via LeMat-Bulk).

Cell and atoms, written as POSCAR:
```
Zn2HgIO6
1.0
6.7069 -0.3989 -0.4140
1.6930 6.7110 0.2865
1.6930 0.0375 6.7170
Zn Hg I O
4 2 2 12
direct
0.3846 0.7535 0.6134
0.1154 0.3866 0.2465
0.6154 0.2465 0.3866
0.8846 0.6134 0.7535
0.2500 0.9014 0.0986
0.7500 0.0986 0.9014
0.2500 0.2699 0.7301
0.7500 0.7301 0.2699
0.2426 0.9794 0.7640
0.2574 0.2360 0.0206
0.7574 0.0206 0.2360
0.7426 0.7640 0.9794
0.4468 0.7522 0.3186
0.0532 0.6814 0.2478
0.5532 0.2478 0.6814
0.9468 0.3186 0.7522
0.1982 0.5691 0.7306
0.3018 0.2694 0.4309
0.8018 0.4309 0.2694
0.6982 0.7306 0.5691
```

Uncorrected formation energy = -0.66 eV/atom
Mass density = 5.9 Mg/m³


# ZnHgI2O

A relaxed structure of ZnHgI2O (PBE, Alexandria via LeMat-Bulk).

Cell and atoms, written as POSCAR:
```
ZnHgI2O
1.0
7.1868 0.0000 0.0000
0.0000 7.1868 0.0000
0.0000 0.0000 3.3771
I Zn Hg O
2 1 1 1
direct
0.0000 0.5000 0.0000
0.5000 0.0000 0.0000
0.0000 0.0000 0.0000
0.5000 0.5000 0.5000
0.0000 0.0000 0.5000
```

Uncorrected formation energy = -0.18 eV/atom
Mass density = 5.1 Mg/m³
Energy above the lowest structure with this stoichiometry = 0.0 meV per atom


# ZrHgI2O

A relaxed structure of ZrHgI2O (PBE, Alexandria via LeMat-Bulk).

Cell and atoms, written as POSCAR:
```
ZrHgI2O
1.0
6.0123 0.0000 0.0000
0.0000 6.0123 0.0000
0.0000 0.0000 3.9896
I O Hg Zr
2 1 1 1
direct
0.0000 0.5000 0.0000
0.5000 0.0000 0.0000
0.0000 0.0000 0.5000
0.0000 0.0000 0.0000
0.5000 0.5000 0.5000
```

Uncorrected formation energy = 0.33 eV/atom
Mass density = 6.5 Mg/m³
Energy above the lowest structure with this stoichiometry = 1481.8 meV per atom


# ZrHg2IO6

A relaxed structure of ZrHg2IO6 (PBE, Alexandria via LeMat-Bulk).

Cell and atoms, written as POSCAR:
```
ZrHg2IO6
1.0
5.8383 -0.0008 -0.0046
2.9185 5.0583 -0.0042
2.9149 1.6843 5.0413
Zr Hg I O
1 2 1 6
direct
0.8074 0.8075 0.5773
0.5515 0.5518 0.3449
0.0619 0.0616 0.8149
0.3050 0.3049 0.0849
0.5580 0.1355 0.2810
0.1360 0.0258 0.2804
0.0258 0.5576 0.2809
0.4644 0.7000 0.7836
0.7001 0.0526 0.7831
0.0515 0.4644 0.7843
```

Uncorrected formation energy = -0.99 eV/atom
Mass density = 8.0 Mg/m³


# ZrHgI2O

A relaxed structure of ZrHgI2O (PBE, Alexandria via LeMat-Bulk).

Cell and atoms, written as POSCAR:
```
ZrHgI2O
1.0
-1.9222 4.9457 -2.7753
1.2047 -2.5074 -5.3027
-3.7471 -1.5285 -0.1285
I O Hg Zr
2 1 1 1
direct
0.0000 0.5000 0.0000
0.5000 0.0000 0.0000
0.0000 0.0000 0.5000
0.5000 0.5000 0.5000
0.0000 0.0000 0.0000
```

Uncorrected formation energy = -1.15 eV/atom
Mass density = 6.4 Mg/m³
Energy above the lowest structure with this stoichiometry = 0.0 meV per atom


# Hg3OsI

A relaxed structure of Hg3OsI (PBE, Alexandria via LeMat-Bulk).

Cell and atoms, written as POSCAR:
```
Hg3OsI
1.0
-5.0262 0.8046 1.6701
-0.0554 -4.8893 2.1888
1.8530 2.0363 4.5955
I Os Hg
1 1 3
direct
0.5000 0.5000 0.5000
0.0000 0.0000 0.0000
0.0000 0.5000 0.0000
0.0000 0.0000 0.5000
0.5000 0.0000 0.0000
```

Uncorrected formation energy = 0.70 eV/atom
Mass density = 9.9 Mg/m³
Energy above the lowest structure with this stoichiometry = 0.0 meV per atom


# HgOs2I

A relaxed structure of HgOs2I (PBE, Alexandria via LeMat-Bulk).

Cell and atoms, written as POSCAR:
```
HgOs2I
1.0
7.4068 0.0000 0.0000
0.0000 7.4068 0.0000
3.7034 3.7034 2.9327
I Os Hg
2 4 2
direct
0.5000 0.5000 0.0000
0.2500 0.7500 0.5000
0.5871 0.1250 0.2500
0.1629 0.6250 0.2500
0.3750 0.4129 0.7500
0.8750 0.8371 0.7500
0.0000 0.0000 0.0000
0.7500 0.2500 0.5000
```

Uncorrected formation energy = 1.77 eV/atom
Mass density = 14.6 Mg/m³
Energy above the lowest structure with this stoichiometry = 214.2 meV per atom


# HgOs2I

A relaxed structure of HgOs2I (PBE, Alexandria via LeMat-Bulk).

Cell and atoms, written as POSCAR:
```
HgOs2I
1.0
-4.2817 0.1265 1.8650
-3.5355 1.8969 -2.3937
-3.3807 -2.7244 -1.7250
I Os Hg
1 2 1
direct
0.0000 0.0000 0.0000
0.2500 0.2500 0.2500
0.7500 0.7500 0.7500
0.5000 0.5000 0.5000
```

Uncorrected formation energy = 1.55 eV/atom
Mass density = 16.3 Mg/m³
Energy above the lowest structure with this stoichiometry = 0.0 meV per atom


# HgOsI3

A relaxed structure of HgOsI3 (PBE, Alexandria via LeMat-Bulk).

Cell and atoms, written as POSCAR:
```
HgOsI3
1.0
-4.4777 -2.6853 -1.7382
1.4810 -4.3908 2.9681
-2.8353 1.9473 4.2954
I Os Hg
3 1 1
direct
0.0000 0.5000 0.0000
0.0000 0.0000 0.5000
0.5000 0.0000 0.0000
0.0000 0.0000 0.0000
0.5000 0.5000 0.5000
```

Uncorrected formation energy = 0.54 eV/atom
Mass density = 7.7 Mg/m³
Energy above the lowest structure with this stoichiometry = 0.0 meV per atom


# Pr4HgOsI2

A relaxed structure of Pr4HgOsI2 (PBE, Alexandria via LeMat-Bulk).

Cell and atoms, written as POSCAR:
```
Pr4HgOsI2
1.0
4.2514 0.0000 0.0000
0.0000 7.7605 0.1514
0.0000 -2.7061 8.1723
Pr Hg Os I
4 1 1 2
direct
0.5000 0.2779 0.1981
0.5000 0.7221 0.8019
0.0000 0.2834 0.8114
0.0000 0.7166 0.1886
0.0000 0.0000 0.0000
0.5000 0.5000 0.0000
0.5000 0.0000 0.5000
0.0000 0.5000 0.5000
```

Uncorrected formation energy = -0.63 eV/atom
Mass density = 7.4 Mg/m³


# HgOs2PtI

A relaxed structure of HgOs2PtI (PBE, Alexandria via LeMat-Bulk).

Cell and atoms, written as POSCAR:
```
HgOs2PtI
1.0
5.0624 0.0000 0.0000
0.0000 5.4967 0.0000
0.0000 0.0000 5.0624
I Os Hg Pt
1 2 1 1
direct
0.0000 0.5000 0.0000
0.0000 0.0000 0.5000
0.5000 0.0000 0.0000
0.0000 0.0000 0.0000
0.5000 0.5000 0.5000
```

Uncorrected formation energy = 2.96 eV/atom
Mass density = 10.6 Mg/m³


# Rb2HgOsI6

A relaxed structure of Rb2HgOsI6 (PBE, Alexandria via LeMat-Bulk).

Cell and atoms, written as POSCAR:
```
Rb2HgOsI6
1.0
-6.5207 -1.5404 5.2337
4.2377 -6.5668 3.3471
1.2959 -0.3820 8.4078
I Os Hg Rb
6 1 1 2
direct
0.2745 0.2745 0.4511
0.7255 0.7255 0.5489
0.2735 0.2735 0.0000
0.7265 0.7265 0.0000
0.7265 0.2735 0.0000
0.2735 0.7265 0.0000
0.5000 0.5000 0.0000
0.0000 0.0000 0.0000
0.7500 0.2500 0.5000
0.2500 0.7500 0.5000
```

Uncorrected formation energy = -0.48 eV/atom
Mass density = 5.0 Mg/m³


# HgOsRh2I

A relaxed structure of HgOsRh2I (PBE, Alexandria via LeMat-Bulk).

Cell and atoms, written as POSCAR:
```
HgOsRh2I
1.0
4.8148 0.0000 0.0000
0.0000 4.8908 0.0000
0.0000 0.0000 4.8148
I Rh Os Hg
1 2 1 1
direct
0.0000 0.0000 0.0000
0.0000 0.0000 0.5000
0.5000 0.0000 0.0000
0.0000 0.5000 0.0000
0.5000 0.5000 0.5000
```

Uncorrected formation energy = 1.59 eV/atom
Mass density = 10.6 Mg/m³


# HgSb2OsI

A relaxed structure of HgSb2OsI (PBE, Alexandria via LeMat-Bulk).

Cell and atoms, written as POSCAR:
```
HgSb2OsI
1.0
-0.7173 -4.7744 1.6092
1.6892 1.3035 4.6202
-5.5415 1.3838 1.6356
I Sb Os Hg
1 2 1 1
direct
0.0000 0.0000 0.5000
0.0000 0.5000 0.0000
0.5000 0.0000 0.0000
0.0000 0.0000 0.0000
0.5000 0.5000 0.5000
```

Uncorrected formation energy = 0.53 eV/atom
Mass density = 8.2 Mg/m³
Energy above the lowest structure with this stoichiometry = 0.0 meV per atom


# HgSbOsI2

A relaxed structure of HgSbOsI2 (PBE, Alexandria via LeMat-Bulk).

Cell and atoms, written as POSCAR:
```
HgSbOsI2
1.0
-2.8572 -3.7581 -3.0976
-1.8235 -2.5046 4.7206
-4.0319 3.0259 0.0480
I Sb Os Hg
2 1 1 1
direct
0.0000 0.5000 0.0000
0.5000 0.0000 0.0000
0.0000 0.0000 0.5000
0.0000 0.0000 0.0000
0.5000 0.5000 0.5000
```

Uncorrected formation energy = 0.55 eV/atom
Mass density = 7.9 Mg/m³
Energy above the lowest structure with this stoichiometry = 0.0 meV per atom


# HgSb2OsI

A relaxed structure of HgSb2OsI (PBE, Alexandria via LeMat-Bulk).

Cell and atoms, written as POSCAR:
```
HgSb2OsI
1.0
5.5149 0.0000 0.0000
0.0000 5.5149 0.0000
0.0000 0.0000 5.6729
I Sb Os Hg
1 2 1 1
direct
0.0000 0.0000 0.5000
0.0000 0.5000 0.0000
0.5000 0.0000 0.0000
0.5000 0.5000 0.5000
0.0000 0.0000 0.0000
```

Uncorrected formation energy = 1.86 eV/atom
Mass density = 7.3 Mg/m³
Energy above the lowest structure with this stoichiometry = 1331.6 meV per atom


# HgTeOsI2

A relaxed structure of HgTeOsI2 (PBE, Alexandria via LeMat-Bulk).

Cell and atoms, written as POSCAR:
```
HgTeOsI2
1.0
5.6947 0.0000 0.0000
0.0000 5.6947 0.0000
0.0000 0.0000 4.9974
I Te Os Hg
2 1 1 1
direct
0.0000 0.5000 0.0000
0.5000 0.0000 0.0000
0.0000 0.0000 0.5000
0.0000 0.0000 0.0000
0.5000 0.5000 0.5000
```

Uncorrected formation energy = 0.51 eV/atom
Mass density = 7.9 Mg/m³
Energy above the lowest structure with this stoichiometry = 0.0 meV per atom


# Ti2HgOsI

A relaxed structure of Ti2HgOsI (PBE, Alexandria via LeMat-Bulk).

Cell and atoms, written as POSCAR:
```
Ti2HgOsI
1.0
4.9590 0.0000 0.0000
0.0000 5.3737 0.0000
0.0000 0.0000 4.9590
I Os Hg Ti
1 1 1 2
direct
0.0000 0.5000 0.0000
0.5000 0.5000 0.5000
0.0000 0.0000 0.0000
0.0000 0.0000 0.5000
0.5000 0.0000 0.0000
```

Uncorrected formation energy = 2.18 eV/atom
Mass density = 7.7 Mg/m³


# Zr2HgOsI

A relaxed structure of Zr2HgOsI (PBE, Alexandria via LeMat-Bulk).

Cell and atoms, written as POSCAR:
```
Zr2HgOsI
1.0
-0.9582 -1.3297 -5.0730
-3.8317 -2.8676 1.4754
-3.2964 4.1635 -0.4687
I Os Hg Zr
1 1 1 2
direct
0.5000 0.5000 0.5000
0.0000 0.5000 0.0000
0.0000 0.0000 0.0000
0.0000 0.0000 0.5000
0.5000 0.0000 0.0000
```

Uncorrected formation energy = 1.48 eV/atom
Mass density = 8.2 Mg/m³


# Hg2PI

A relaxed structure of Hg2PI (PBE, Alexandria via LeMat-Bulk).

Cell and atoms, written as POSCAR:
```
Hg2PI
1.0
-1.0820 2.4223 -3.6057
5.6899 -2.7032 -3.6134
-3.0109 -6.0174 -5.4523
Hg P I
4 2 2
direct
0.7852 0.1837 0.6635
0.2148 0.8163 0.3365
0.8664 0.6566 0.0324
0.1336 0.3434 0.9676
0.6359 0.9546 0.0964
0.3641 0.0454 0.9036
0.7207 0.7070 0.6021
0.2793 0.2930 0.3979
```

Uncorrected formation energy = -0.04 eV/atom
Mass density = 7.1 Mg/m³
Energy above the lowest structure with this stoichiometry = 66.7 meV per atom


# Hg2PI

A relaxed structure of Hg2PI (PBE, Alexandria via LeMat-Bulk).

Cell and atoms, written as POSCAR:
```
Hg2PI
1.0
-4.4972 -2.5652 -3.8930
2.6237 -5.8637 0.8328
-4.7694 -5.2076 3.5518
I P Hg
2 2 4
direct
0.0000 0.0000 0.0000
0.7500 0.2500 0.5000
0.5000 0.5000 0.0000
0.2500 0.7500 0.5000
0.5191 0.1250 0.2500
0.2309 0.6250 0.2500
0.3750 0.4809 0.7500
0.8750 0.7691 0.7500
```

Uncorrected formation energy = -0.09 eV/atom
Mass density = 6.9 Mg/m³
Energy above the lowest structure with this stoichiometry = 20.2 meV per atom


# Hg3PI

A relaxed structure of Hg3PI (PBE, Alexandria via LeMat-Bulk).

Cell and atoms, written as POSCAR:
```
Hg3PI
1.0
-4.5605 2.2103 1.4496
-2.6098 -4.2234 -1.7709
0.4189 -2.2499 4.7484
I P Hg
1 1 3
direct
0.5000 0.5000 0.5000
0.0000 0.0000 0.0000
0.0000 0.5000 0.0000
0.0000 0.0000 0.5000
0.5000 0.0000 0.0000
```

Uncorrected formation energy = 0.00 eV/atom
Mass density = 8.6 Mg/m³
Energy above the lowest structure with this stoichiometry = 0.0 meV per atom


# Hg2PI

A relaxed structure of Hg2PI (PBE, Alexandria via LeMat-Bulk).

Cell and atoms, written as POSCAR:
```
Hg2PI
1.0
-0.6966 7.4375 3.6505
-3.5135 -1.4535 2.2908
4.6176 -4.3526 4.3205
Hg P I
4 2 2
direct
0.1646 0.0000 0.6629
0.1646 0.5000 0.1629
0.4971 0.0000 0.1102
0.4971 0.5000 0.6102
0.4760 0.0000 0.7694
0.4760 0.5000 0.2694
0.9505 0.0000 0.2587
0.9505 0.5000 0.7587
```

Uncorrected formation energy = -0.02 eV/atom
Mass density = 6.9 Mg/m³
Energy above the lowest structure with this stoichiometry = 91.5 meV per atom